BeInRe2 | Alexandria via LeMat-Bulk | GGA-PBEsol | optimized geometry; total DFT energy (no corrections) = -8.031 eV per atom; space group = Immm; mass density = 14.50 Mg/m³; size of the total moment = 0.000 μB per atom; polymorph energy (0 for the lowest one) = 0 meV per atom; energy of formation = 381 meV per atom
1.0
-0.380 2.844 -0.782
0.721 -1.075 -4.262
-4.367 -1.592 1.990
Re In Be
2 1 1
direct
0.208 0.208 0.416
0.792 0.792 0.584
0.000 0.500 0.000
0.500 0.000 0.000